[1]
Density functional theory data (PBE-GGA) for LiTeIN2 after structural relaxation.

The structure belongs to space group P4/mmm (No. 123); the cell edges are 4.021, 4.021 and 6.558 Å and the angles 90.00°, 90.00° and 90.00°. The distinct sites, in fractional coordinates, are Li at (0.000, 0.000, 0.000), Te at (0.500, 0.500, 0.000), I at (0.500, 0.500, 0.500) and N at (0.000, 0.500, 0.500).

The formation energy (no corrections) comes out at 1.4609 eV/atom. The calculation puts the total magnetization at 0.15 μB/f.u.

---

[2]
Density functional theory data (PBE-GGA) for Cs2BaTlBi2 after structural relaxation.

The structure belongs to space group Pmc2_1 (No. 26); the cell edges are 5.798, 10.748 and 8.817 Å and the angles 90.00°, 90.00° and 90.00°. The distinct sites, in fractional coordinates, are Cs at (0.000, 0.086, 0.000), Cs at (0.500, 0.157, 0.322), Ba at (0.500, 0.476, 0.007), Tl at (0.000, 0.322, 0.656), Bi at (0.000, 0.390, 0.282) and Bi at (0.500, 0.216, 0.742).

The value obtained for the energy relative to the elements is -2.9 eV/f.u. The calculation puts the total magnetization at 0.00 μB/f.u.

---

[3]
Density functional theory data (PBE-GGA) for AlFeI3 after structural relaxation.

The structure belongs to space group Pm-3m (No. 221); the cell edges are 5.612, 5.612 and 5.612 Å and the angles 90.00°, 90.00° and 90.00°. The distinct sites, in fractional coordinates, are Al at (0.000, 0.000, 0.000), Fe at (0.500, 0.500, 0.500) and I at (0.000, 0.000, 0.500).

The formation energy (no corrections) comes out at 0.4807 eV/atom. The calculation puts the total magnetization at 4.20 μB/f.u.

---

[4]
Density functional theory data (PBE-GGA) for EuGdCuHg after structural relaxation.

The structure belongs to space group F-43m (No. 216); the cell edges are 7.421, 7.421 and 7.421 Å and the angles 90.00°, 90.00° and 90.00°. The distinct sites, in fractional coordinates, are Eu at (0.000, 0.000, 0.000), Gd at (0.000, 0.000, 0.500), Cu at (0.250, 0.250, 0.250) and Hg at (0.250, 0.250, 0.750).

The value obtained for the energy relative to the elements is -1.1 eV/f.u. The calculation puts the total magnetization at 14.28 μB/f.u.

---

[5]
Density functional theory data (PBE-GGA) for TbNdDyZr after structural relaxation.

The structure belongs to space group F-43m (No. 216); the cell edges are 7.832, 7.832 and 7.832 Å and the angles 90.00°, 90.00° and 90.00°. The distinct sites, in fractional coordinates, are Tb at (0.000, 0.000, 0.000), Nd at (0.250, 0.250, 0.250), Dy at (0.000, 0.000, 0.500) and Zr at (0.250, 0.250, 0.750).

The value obtained for the energy relative to the elements is 0.9 eV/f.u. The calculation puts the total magnetization at 1.63 μB/f.u.

---

[6]
Density functional theory data (PBE-GGA) for Ca2HoThP4 after structural relaxation.

The structure belongs to space group P2/m (No. 10); the cell edges are 7.115, 4.142 and 7.122 Å and the angles 90.00°, 109.63° and 90.00°. The distinct sites, in fractional coordinates, are Ca at (0.000, 0.000, 0.000), Ca at (0.500, 0.500, 0.000), Ho at (0.000, 0.500, 0.500), Th at (0.500, 0.000, 0.500), P at (0.242, 0.000, 0.736) and P at (0.250, 0.500, 0.261).

The value obtained for the energy relative to the elements is -10.3 eV/f.u. The calculation puts the total magnetization at 0.00 μB/f.u.

---

[7]
Density functional theory data (PBE-GGA) for AcMg4In2 after structural relaxation.

The structure belongs to space group R-3m (No. 166, hexagonal axes); the cell edges are 4.9666, 4.9666 and 26.2182 Å and the angles 90.00°, 90.00° and 120.00°. The distinct sites, in fractional coordinates, are Ac at (0.0000, 0.0000, 0.0000), Mg at (0.0000, 0.0000, 0.1403), Mg at (0.0000, 0.0000, 0.4300) and In at (0.0000, 0.0000, 0.2560).

The value obtained for the energy relative to the elements is -1.6 eV/f.u. The calculation puts the total magnetization at 0.00 μB/f.u.

---

[8]
Density functional theory data (PBE-GGA) for Cs3Na2PuI8 after structural relaxation.

The structure belongs to space group P-3m1 (No. 164); the cell edges are 8.6062, 8.6062 and 11.6024 Å and the angles 90.00°, 90.00° and 120.00°. The distinct sites, in fractional coordinates, are Cs at (0.0000, 0.0000, 0.0000), Cs at (0.3333, 0.6667, 0.6135), Na at (0.3333, 0.6667, 0.1774), Pu at (0.0000, 0.0000, 0.5000), I at (0.1637, 0.3275, 0.3374) and I at (0.3333, 0.6667, 0.9281).

The formation energy (no corrections) comes out at -1.2761 eV/atom. The calculation puts the total magnetization at 5.00 μB/f.u.

---

[9]
Density functional theory data (PBE-GGA) for PrNdSnBr after structural relaxation.

The structure belongs to space group F-43m (No. 216); the cell edges are 7.737, 7.737 and 7.737 Å and the angles 90.00°, 90.00° and 90.00°. The distinct sites, in fractional coordinates, are Pr at (0.000, 0.000, 0.000), Nd at (0.000, 0.000, 0.500), Sn at (0.250, 0.250, 0.250) and Br at (0.250, 0.250, 0.750).

The formation energy (no corrections) comes out at -0.8961 eV/atom. The calculation puts the total magnetization at 0.00 μB/f.u.

---

[10]
Density functional theory data (PBE-GGA) for TaCo2Ag after structural relaxation.

The structure belongs to space group Cm (No. 8); the cell edges are 9.462, 2.810 and 4.472 Å and the angles 90.00°, 107.99° and 90.00°. The distinct sites, in fractional coordinates, are Ta at (0.000, 0.000, 0.000), Co at (0.258, 0.500, 0.183), Co at (0.461, 0.000, 0.468) and Ag at (0.219, 0.000, 0.657).

The value obtained for the energy relative to the elements is 0.9 eV/f.u. The calculation puts the total magnetization at 1.71 μB/f.u.

---

[11]
Density functional theory data (PBE-GGA) for SrLa2Ni2 after structural relaxation.

The structure belongs to space group P4/mbm (No. 127); the cell edges are 8.120, 8.120 and 4.033 Å and the angles 90.00°, 90.00° and 90.00°. The distinct sites, in fractional coordinates, are Sr at (0.000, 0.000, 0.000), La at (0.154, 0.346, 0.500) and Ni at (0.115, 0.615, 0.000).

The value obtained for the energy relative to the elements is -0.7 eV/f.u. The calculation puts the total magnetization at 0.00 μB/f.u.

---

[12]
Density functional theory data (PBE-GGA) for Th3FeTc after structural relaxation.

The structure belongs to space group P2_1/m (No. 11); the cell edges are 8.090, 3.929 and 8.328 Å and the angles 90.00°, 114.61° and 90.00°. The distinct sites, in fractional coordinates, are Th at (0.069, 0.250, 0.186), Th at (0.212, 0.750, 0.576), Th at (0.401, 0.750, 0.129), Fe at (0.450, 0.250, 0.431) and Tc at (0.211, 0.250, 0.837).

The value obtained for the energy relative to the elements is -0.5 eV/f.u. The calculation puts the total magnetization at 0.55 μB/f.u.

---

[13]
Density functional theory data (PBE-GGA) for TaCr2Au after structural relaxation.

The structure belongs to space group R-3m (No. 166, hexagonal axes); the cell edges are 2.9150, 2.9150 and 26.1124 Å and the angles 90.00°, 90.00° and 120.00°. The distinct sites, in fractional coordinates, are Ta at (0.0000, 0.0000, 0.0000), Cr at (0.0000, 0.0000, 0.2530) and Au at (0.0000, 0.0000, 0.5000).

The value obtained for the energy relative to the elements is 1.8 eV/f.u. The calculation puts the total magnetization at 3.86 μB/f.u.

---

[14]
Density functional theory data (PBE-GGA) for Ce2MnNiGe6 after structural relaxation.

The structure belongs to space group Pmmn (No. 59, origin choice 2); the cell edges are 6.402, 8.758 and 6.887 Å and the angles 90.00°, 90.00° and 90.00°. The distinct sites, in fractional coordinates, are Ce at (0.250, 0.005, 0.245), Mn at (0.250, 0.750, 0.896), Ni at (0.250, 0.250, 0.614), Ge at (0.054, 0.250, 0.926), Ge at (0.054, 0.750, 0.568) and Ge at (0.250, 0.503, 0.739).

The value obtained for the energy relative to the elements is -3.7 eV/f.u. The calculation puts the total magnetization at 3.13 μB/f.u.

---

[15]
Density functional theory data (PBE-GGA) for Pr12Tm3Tl after structural relaxation.

The structure belongs to space group P4/mmm (No. 123); the cell edges are 5.120, 5.120 and 20.735 Å and the angles 90.00°, 90.00° and 90.00°. The distinct sites, in fractional coordinates, are Pr at (0.000, 0.000, 0.000), Pr at (0.000, 0.000, 0.248), Pr at (0.000, 0.000, 0.500), Pr at (0.000, 0.500, 0.122), Pr at (0.000, 0.500, 0.374), Tm at (0.500, 0.500, 0.249), Tm at (0.500, 0.500, 0.500) and Tl at (0.500, 0.500, 0.000).

The value obtained for the energy relative to the elements is -0.6 eV/f.u. The calculation puts the total magnetization at 0.00 μB/f.u.

---

[16]
Density functional theory data (PBE-GGA) for Rb3Zn3Cd8 after structural relaxation.

The structure belongs to space group Immm (No. 71); the cell edges are 4.913, 12.485 and 14.074 Å and the angles 90.00°, 90.00° and 90.00°. The distinct sites, in fractional coordinates, are Rb at (0.000, 0.000, 0.000), Rb at (0.000, 0.000, 0.300), Zn at (0.000, 0.239, 0.500), Zn at (0.000, 0.500, 0.000), Cd at (0.000, 0.301, 0.311) and Cd at (0.000, 0.302, 0.103).

The value obtained for the energy relative to the elements is 0.0 eV/f.u. The calculation puts the total magnetization at 0.00 μB/f.u.

---

[17]
Density functional theory data (PBE-GGA) for CaMg2OsW after structural relaxation.

The structure belongs to space group P4/mmm (No. 123); the cell edges are 5.101, 5.101 and 5.126 Å and the angles 90.00°, 90.00° and 90.00°. The distinct sites, in fractional coordinates, are Ca at (0.000, 0.000, 0.000), Mg at (0.000, 0.500, 0.500), Os at (0.500, 0.500, 0.000) and W at (0.000, 0.000, 0.500).

The value obtained for the energy relative to the elements is 10.7 eV/f.u. The calculation puts the total magnetization at 4.15 μB/f.u.

---

[18]
Density functional theory data (PBE-GGA) for Ac2PrAg after structural relaxation.

The structure belongs to space group Cm (No. 8); the cell edges are 6.888, 3.986 and 11.170 Å and the angles 90.00°, 101.78° and 90.00°. The distinct sites, in fractional coordinates, are Ac at (0.000, 0.000, 0.000), Ac at (0.188, 0.000, 0.563), Pr at (0.426, 0.000, 0.279) and Ag at (0.095, 0.500, 0.783).

The value obtained for the energy relative to the elements is 0.0 eV/f.u. The calculation puts the total magnetization at 0.00 μB/f.u.

---

[19]
Density functional theory data (PBE-GGA) for GeHPd3 after structural relaxation.

The structure belongs to space group Pmmn (No. 59, origin choice 2); the cell edges are 4.219, 5.589 and 5.520 Å and the angles 90.00°, 90.00° and 90.00°. The distinct sites, in fractional coordinates, are Ge at (0.250, 0.250, 0.171), H at (0.250, 0.750, 0.439), Pd at (0.250, 0.505, 0.664) and Pd at (0.250, 0.750, 0.117).

For the total energy, the calculation gives -4.9416 eV per atom. The calculation puts the total magnetization at 0.00 μB/f.u.

---

[20]
Density functional theory data (PBE-GGA) for RbCoOs after structural relaxation.

The structure belongs to space group Cm (No. 8); the cell edges are 12.883, 4.246 and 4.964 Å and the angles 90.00°, 91.27° and 90.00°. The distinct sites, in fractional coordinates, are Rb at (0.000, 0.000, 0.000), Rb at (0.057, 0.500, 0.503), Co at (0.254, 0.500, 0.017), Co at (0.275, 0.000, 0.231), Os at (0.277, 0.000, 0.745) and Os at (0.309, 0.500, 0.495).

The value obtained for the energy relative to the elements is 2.2 eV/f.u. The calculation puts the total magnetization at 1.28 μB/f.u.